[1]
{"formula": "Pr4NiHg3", "functional": "PBE", "state": "relaxed", "delta_e_f_ev_per_atom": -0.3889, "space_group": "P4/mmm", "total_magnetization_mub_per_cell": 0.359, "lattice_angstrom": [[3.748, 0.000, 0.000], [0.000, 3.748, 0.000], [0.000, 0.000, 15.489]], "species": ["Pr", "Pr", "Pr", "Pr", "Ni", "Hg", "Hg", "Hg"], "frac_coords": [[0.000, 0.000, 0.107], [0.000, 0.000, 0.369], [0.000, 0.000, 0.631], [0.000, 0.000, 0.893], [0.500, 0.500, 0.000], [0.500, 0.500, 0.241], [0.500, 0.500, 0.500], [0.500, 0.500, 0.759]]}

***

[2]
{"formula": "Sr2CdSb4Ir3", "functional": "PBE", "state": "relaxed", "e_form_raw_ev_per_atom": -0.449, "space_group": "P-4m2", "total_magnetization_mub_per_cell": 0.000, "lattice_angstrom": [[4.656, 0.000, 0.000], [0.000, 4.656, 0.000], [0.000, 0.000, 10.991]], "species": ["Sr", "Sr", "Cd", "Sb", "Sb", "Sb", "Sb", "Ir", "Ir", "Ir"], "frac_coords": [[0.000, 0.500, 0.247], [0.500, 0.000, 0.753], [0.000, 0.000, 0.500], [0.000, 0.000, 0.000], [0.000, 0.500, 0.645], [0.500, 0.000, 0.355], [0.500, 0.500, 0.000], [0.000, 0.500, 0.885], [0.500, 0.000, 0.115], [0.500, 0.500, 0.500]]}

***

[3]
{"formula": "KNaAg2Au", "functional": "PBE", "state": "relaxed", "delta_e_f_ev_per_atom": 0.0316, "space_group": "P4/mmm", "total_magnetization_mub_per_cell": 0.000, "lattice_angstrom": [[5.370, 0.000, 0.000], [0.000, 5.370, 0.000], [0.000, 0.000, 5.356]], "species": ["K", "Na", "Ag", "Ag", "Au"], "frac_coords": [[0.000, 0.000, 0.000], [0.500, 0.500, 0.000], [0.000, 0.500, 0.500], [0.500, 0.000, 0.500], [0.500, 0.500, 0.500]]}

***

[4]
{"formula": "Sr3ZrZn", "functional": "PBE", "state": "relaxed", "delta_e_f_ev_per_atom": 0.9035, "space_group": "Pm-3m", "total_magnetization_mub_per_cell": 0.511, "lattice_angstrom": [[6.101, 0.000, 0.000], [0.000, 6.101, 0.000], [0.000, 0.000, 6.101]], "species": ["Sr", "Sr", "Sr", "Zr", "Zn"], "frac_coords": [[0.000, 0.000, 0.500], [0.000, 0.500, 0.000], [0.500, 0.000, 0.000], [0.000, 0.000, 0.000], [0.500, 0.500, 0.500]]}

***

[5]
{"formula": "LaBeRu3", "functional": "PBE", "state": "relaxed", "delta_e_f_ev_per_atom": 2.1574, "space_group": "Pm-3m", "total_magnetization_mub_per_cell": 2.174, "lattice_angstrom": [[4.781, 0.000, 0.000], [0.000, 4.781, 0.000], [0.000, 0.000, 4.781]], "species": ["La", "Be", "Ru", "Ru", "Ru"], "frac_coords": [[0.000, 0.000, 0.000], [0.500, 0.500, 0.500], [0.000, 0.000, 0.500], [0.000, 0.500, 0.000], [0.500, 0.000, 0.000]]}

***

[6]
{"formula": "ScNbCu3", "functional": "PBE", "state": "relaxed", "delta_e_f_ev_per_atom": 0.9728, "space_group": "Pm-3m", "total_magnetization_mub_per_cell": 0.000, "lattice_angstrom": [[4.690, 0.000, 0.000], [0.000, 4.690, 0.000], [0.000, 0.000, 4.690]], "species": ["Sc", "Nb", "Cu", "Cu", "Cu"], "frac_coords": [[0.000, 0.000, 0.000], [0.500, 0.500, 0.500], [0.000, 0.500, 0.500], [0.500, 0.000, 0.500], [0.500, 0.500, 0.000]]}

***

[7]
{"formula": "GaFe2IrPd", "functional": "PBE", "state": "relaxed", "delta_e_f_ev_per_atom": 1.0931, "space_group": "P4/mmm", "total_magnetization_mub_per_cell": 7.645, "lattice_angstrom": [[4.695, 0.000, 0.000], [0.000, 4.695, 0.000], [0.000, 0.000, 5.025]], "species": ["Ga", "Fe", "Fe", "Ir", "Pd"], "frac_coords": [[0.000, 0.000, 0.000], [0.000, 0.500, 0.500], [0.500, 0.000, 0.500], [0.500, 0.500, 0.500], [0.500, 0.500, 0.000]]}

***

[8]
{"formula": "PmZn9Cd2", "functional": "PBE", "state": "relaxed", "delta_e_f_ev_per_atom": -0.1258, "space_group": "R-3m", "total_magnetization_mub_per_cell": 0.000, "lattice_angstrom": [[2.678, 1.546, 8.408], [-2.678, 1.546, 8.408], [0.000, -3.093, 8.408]], "species": ["Pm", "Zn", "Zn", "Zn", "Zn", "Zn", "Zn", "Zn", "Zn", "Zn", "Cd", "Cd"], "frac_coords": [[0.000, 0.000, 0.000], [0.081, 0.587, 0.587], [0.333, 0.333, 0.333], [0.413, 0.413, 0.919], [0.413, 0.919, 0.413], [0.500, 0.500, 0.500], [0.587, 0.081, 0.587], [0.587, 0.587, 0.081], [0.667, 0.667, 0.667], [0.919, 0.413, 0.413], [0.138, 0.138, 0.138], [0.862, 0.862, 0.862]]}

***

[9]
{"formula": "KCr2RhAu", "functional": "PBE", "state": "relaxed", "delta_e_f_ev_per_atom": 0.7043, "space_group": "P4/mmm", "total_magnetization_mub_per_cell": 7.436, "lattice_angstrom": [[4.782, 0.000, 0.000], [0.000, 4.782, 0.000], [0.000, 0.000, 5.353]], "species": ["K", "Cr", "Cr", "Rh", "Au"], "frac_coords": [[0.000, 0.000, 0.000], [0.000, 0.500, 0.500], [0.500, 0.000, 0.500], [0.500, 0.500, 0.500], [0.500, 0.500, 0.000]]}

***

[10]
{"formula": "Li2PuBeO4", "functional": "PBE", "state": "relaxed", "e_form_raw_ev_per_atom": -2.285, "space_group": "P2/m", "total_magnetization_mub_per_cell": 4.000, "lattice_angstrom": [[5.135, 0.000, 0.000], [0.000, 3.507, 0.000], [-0.350, 0.000, 5.303]], "species": ["Li", "Li", "Pu", "Be", "O", "O", "O", "O"], "frac_coords": [[0.000, 0.000, 0.000], [0.500, 0.500, 0.000], [0.000, 0.500, 0.500], [0.500, 0.000, 0.500], [0.209, 0.500, 0.194], [0.277, 0.000, 0.665], [0.723, 0.000, 0.335], [0.791, 0.500, 0.806]]}

***

[11]
{"formula": "BaAl3Cd", "functional": "PBE", "state": "relaxed", "delta_e_f_ev_per_atom": 1.3891, "space_group": "Pm-3m", "total_magnetization_mub_per_cell": 0.816, "lattice_angstrom": [[6.111, 0.000, 0.000], [0.000, 6.111, 0.000], [0.000, 0.000, 6.111]], "species": ["Ba", "Al", "Al", "Al", "Cd"], "frac_coords": [[0.000, 0.000, 0.000], [0.000, 0.000, 0.500], [0.000, 0.500, 0.000], [0.500, 0.000, 0.000], [0.500, 0.500, 0.500]]}

***

[12]
{"formula": "CrSnS4", "functional": "PBE", "state": "relaxed", "e_form_raw_ev_per_atom": -0.391, "space_group": "P2/m", "total_magnetization_mub_per_cell": 2.159, "lattice_angstrom": [[5.563, 0.000, 0.000], [0.000, 3.568, 0.000], [-0.119, 0.000, 6.296]], "species": ["Cr", "Sn", "S", "S", "S", "S"], "frac_coords": [[0.000, 0.000, 0.000], [0.000, 0.500, 0.500], [0.236, 0.500, 0.151], [0.252, 0.000, 0.697], [0.748, 0.000, 0.303], [0.764, 0.500, 0.849]]}

***

[13]
{"formula": "SrTa2NiCl", "functional": "PBE", "state": "relaxed", "e_form_raw_ev_per_atom": 0.748, "space_group": "P4/mmm", "total_magnetization_mub_per_cell": 1.476, "lattice_angstrom": [[4.525, 0.000, 0.000], [0.000, 4.525, 0.000], [0.000, 0.000, 7.083]], "species": ["Sr", "Ta", "Ta", "Ni", "Cl"], "frac_coords": [[0.000, 0.000, 0.000], [0.000, 0.500, 0.500], [0.500, 0.000, 0.500], [0.500, 0.500, 0.500], [0.500, 0.500, 0.000]]}

***

[14]
{"formula": "Y2CdRh", "functional": "PBE", "state": "relaxed", "delta_e_f_ev_per_atom": -0.4528, "space_group": "R3m", "total_magnetization_mub_per_cell": 0.000, "lattice_angstrom": [[1.997, 1.153, 7.812], [-1.997, 1.153, 7.812], [0.000, -2.306, 7.812]], "species": ["Y", "Y", "Cd", "Rh"], "frac_coords": [[0.000, 0.000, 0.000], [0.202, 0.202, 0.202], [0.435, 0.435, 0.435], [0.600, 0.600, 0.600]]}

***

[15]
{"formula": "RbNpPa2S8", "functional": "PBE", "state": "relaxed", "e_form_raw_ev_per_atom": -1.255, "space_group": "P2/m", "total_magnetization_mub_per_cell": 2.000, "lattice_angstrom": [[6.252, 0.000, 0.000], [0.000, 8.399, 0.000], [-0.179, 0.000, 6.489]], "species": ["Rb", "Np", "Pa", "Pa", "S", "S", "S", "S", "S", "S", "S", "S"], "frac_coords": [[0.000, 0.000, 0.000], [0.000, 0.500, 0.000], [0.500, 0.250, 0.500], [0.500, 0.750, 0.500], [0.256, 0.295, 0.167], [0.256, 0.705, 0.167], [0.275, 0.000, 0.603], [0.278, 0.500, 0.665], [0.722, 0.500, 0.335], [0.725, 0.000, 0.397], [0.744, 0.295, 0.833], [0.744, 0.705, 0.833]]}

***

[16]
{"formula": "VSeI2N", "functional": "PBE", "state": "relaxed", "e_form_raw_ev_per_atom": 0.319, "space_group": "P4/mmm", "total_magnetization_mub_per_cell": 0.797, "lattice_angstrom": [[5.565, 0.000, 0.000], [0.000, 5.565, 0.000], [0.000, 0.000, 3.682]], "species": ["V", "Se", "I", "I", "N"], "frac_coords": [[0.000, 0.000, 0.000], [0.500, 0.500, 0.500], [0.000, 0.500, 0.000], [0.500, 0.000, 0.000], [0.000, 0.000, 0.500]]}

***

[17]
{"formula": "Pm2NdY2", "functional": "PBE", "state": "relaxed", "delta_e_f_ev_per_atom": 0.1067, "space_group": "C2/m", "total_magnetization_mub_per_cell": 0.000, "lattice_angstrom": [[6.295, -2.964, 0.000], [6.295, 2.964, 0.000], [-3.417, 0.000, 9.079]], "species": ["Pm", "Pm", "Pm", "Pm", "Nd", "Nd", "Y", "Y", "Y", "Y"], "frac_coords": [[0.154, 0.154, 0.044], [0.261, 0.261, 0.733], [0.739, 0.739, 0.267], [0.846, 0.846, 0.956], [0.048, 0.048, 0.346], [0.952, 0.952, 0.654], [0.356, 0.356, 0.432], [0.448, 0.448, 0.137], [0.552, 0.552, 0.863], [0.644, 0.644, 0.568]]}

***

[18]
{"formula": "CsIn2Pb10", "functional": "PBE", "state": "relaxed", "delta_e_f_ev_per_atom": -0.0310, "space_group": "Fmmm", "total_magnetization_mub_per_cell": 0.000, "lattice_angstrom": [[0.000, 8.089, 8.305], [3.253, 0.000, 8.305], [3.253, 8.089, 0.000]], "species": ["Cs", "In", "In", "Pb", "Pb", "Pb", "Pb", "Pb", "Pb", "Pb", "Pb", "Pb", "Pb"], "frac_coords": [[0.000, 0.000, 0.000], [0.000, 0.500, 0.000], [0.500, 0.000, 0.500], [0.000, 0.000, 0.500], [0.002, 0.357, 0.643], [0.276, 0.495, 0.505], [0.357, 0.002, 0.998], [0.495, 0.276, 0.724], [0.500, 0.500, 0.000], [0.505, 0.724, 0.276], [0.643, 0.998, 0.002], [0.724, 0.505, 0.495], [0.998, 0.643, 0.357]]}

***

[19]
{"formula": "Dy3HoTh4Se8", "functional": "PBE", "state": "relaxed", "e_form_raw_ev_per_atom": -1.643, "space_group": "R-3m", "total_magnetization_mub_per_cell": 0.000, "lattice_angstrom": [[4.034, 2.329, 7.100], [-4.034, 2.329, 7.100], [0.000, -4.658, 7.100]], "species": ["Dy", "Dy", "Dy", "Ho", "Th", "Th", "Th", "Th", "Se", "Se", "Se", "Se", "Se", "Se", "Se", "Se"], "frac_coords": [[0.000, 0.500, 0.500], [0.500, 0.000, 0.500], [0.500, 0.500, 0.000], [0.000, 0.000, 0.000], [0.000, 0.000, 0.500], [0.000, 0.500, 0.000], [0.500, 0.000, 0.000], [0.500, 0.500, 0.500], [0.244, 0.244, 0.745], [0.244, 0.745, 0.244], [0.255, 0.255, 0.255], [0.255, 0.756, 0.756], [0.745, 0.244, 0.244], [0.745, 0.745, 0.745], [0.756, 0.255, 0.756], [0.756, 0.756, 0.255]]}

***

[20]
{"formula": "Nd8Tl3Rh2", "functional": "PBE", "state": "relaxed", "delta_e_f_ev_per_atom": -0.2340, "space_group": "C2/m", "total_magnetization_mub_per_cell": 0.001, "lattice_angstrom": [[9.019, -3.961, 0.000], [9.019, 3.961, 0.000], [-0.001, 0.000, 5.490]], "species": ["Nd", "Nd", "Nd", "Nd", "Nd", "Nd", "Nd", "Nd", "Tl", "Tl", "Tl", "Rh", "Rh"], "frac_coords": [[0.052, 0.601, 0.254], [0.077, 0.077, 0.274], [0.343, 0.343, 0.780], [0.399, 0.948, 0.746], [0.601, 0.052, 0.254], [0.657, 0.657, 0.220], [0.923, 0.923, 0.726], [0.948, 0.399, 0.746], [0.303, 0.697, 0.000], [0.500, 0.500, 0.500], [0.697, 0.303, 0.000], [0.227, 0.227, 0.219], [0.773, 0.773, 0.781]]}

***

[21]
{"formula": "Cr2OsCl", "functional": "PBE", "state": "relaxed", "e_form_raw_ev_per_atom": 0.169, "space_group": "Pmmm", "total_magnetization_mub_per_cell": 5.074, "lattice_angstrom": [[2.904, 0.000, 0.000], [0.000, 2.943, 0.000], [0.000, 0.000, 7.286]], "species": ["Cr", "Cr", "Os", "Cl"], "frac_coords": [[0.000, 0.000, 0.220], [0.000, 0.000, 0.780], [0.500, 0.500, 0.000], [0.500, 0.000, 0.500]]}

***

Per-record calculated total energy, eV/cell: -28.92; -51.84; -11.24; -10.35; -25.69; -23.83; -28.54; -19.56; -27.45; -60.00; -7.12; -32.48; -29.27; -23.01; -80.98; -22.43; -53.33; -43.82; -102.22; -62.99; -31.65